PmAgIr | GGA-PBE | optimized geometry

Properties
E = -5.582 eV per atom
Energy above the most stable polymorph in this dataset = 0 meV/atom
Energy of formation from the pure elements = -0.1071 eV/atom
Magnetization = 0.0 μB/cell

Unit cell a=4.682 b=4.682 c=4.682 alpha=60.00 beta=60.00 gamma=60.00
Positions (direct):
Ag  0.750  0.750  0.750
Ir  0.000  0.000  0.000
Pm  0.250  0.250  0.250

---

PrAgIr | GGA-PBE | optimized geometry

Properties
E = -5.105 eV per atom
Energy above the most stable polymorph in this dataset = 454 meV/atom
Energy of formation from the pure elements = 0.3797 eV/atom
Magnetization = 0.0 μB/cell

Unit cell a=4.793 b=4.793 c=4.793 alpha=60.00 beta=60.00 gamma=60.00
Positions (direct):
Ag  0.500  0.500  0.500
Ir  0.000  0.000  0.000
Pr  0.250  0.250  0.250

---

PrAgIr | GGA-PBE | optimized geometry

Properties
E = -5.559 eV per atom
Energy above the most stable polymorph in this dataset = 0 meV/atom
Energy of formation from the pure elements = -0.0741 eV/atom
Magnetization = 0.1 μB/cell

Unit cell a=4.729 b=4.729 c=4.729 alpha=60.00 beta=60.00 gamma=60.00
Positions (direct):
Ag  0.750  0.750  0.750
Ir  0.000  0.000  0.000
Pr  0.250  0.250  0.250

---

Pr2AgIr | GGA-PBE | optimized geometry

Properties
E = -5.734 eV per atom
Energy of formation from the pure elements = -0.4264 eV/atom
Magnetization = 0.0 μB/cell

Unit cell a=4.629 b=5.818 c=5.818 alpha=40.16 beta=90.00 gamma=90.00
Positions (direct):
Ag  0.000  0.705  0.705
Ir  0.500  0.540  0.540
Pr  0.500  0.267  0.267
Pr  0.000  0.988  0.988

---

PrSi2AgIr | GGA-PBE | optimized geometry

Properties
E = -6.067 eV per atom
Magnetization = 0.0 μB/cell

Unit cell a=5.926 b=5.926 c=5.926 alpha=138.20 beta=138.20 gamma=60.60
Positions (direct):
Ag  0.000  0.000  0.000
Ir  0.500  0.500  0.000
Pr  0.750  0.250  0.500
Si  0.132  0.632  0.500
Si  0.368  0.868  0.500

---

AgIrPt2 | GGA-PBE | optimized geometry

Properties
E = -5.568 eV per atom
Energy of formation from the pure elements = 0.3795 eV/atom
Magnetization = 0.3 μB/cell

Unit cell a=4.480 b=4.480 c=4.480 alpha=60.00 beta=60.00 gamma=60.00
Positions (direct):
Ag  0.750  0.750  0.750
Ir  0.500  0.500  0.500
Pt  0.000  0.000  0.000
Pt  0.250  0.250  0.250

---

AgIr2Pt | GGA-PBE | optimized geometry

Properties
E = -6.137 eV per atom
Energy of formation from the pure elements = 0.5106 eV/atom
Magnetization = 0.5 μB/cell

Unit cell a=4.460 b=4.460 c=4.460 alpha=60.00 beta=60.00 gamma=60.00
Positions (direct):
Ag  0.500  0.500  0.500
Ir  0.000  0.000  0.000
Ir  0.250  0.250  0.250
Pt  0.750  0.750  0.750

---

Ag2IrPt | GGA-PBE | optimized geometry

Properties
E = -4.743 eV per atom
Energy of formation from the pure elements = 0.3971 eV/atom
Magnetization = 1.0 μB/cell

Unit cell a=4.519 b=4.519 c=4.519 alpha=60.00 beta=60.00 gamma=60.00
Positions (direct):
Ag  0.000  0.000  0.000
Ag  0.250  0.250  0.250
Ir  0.500  0.500  0.500
Pt  0.750  0.750  0.750

---

AgIrPt | GGA-PBE | optimized geometry

Properties
E = -5.207 eV per atom
Energy above the most stable polymorph in this dataset = 0 meV/atom
Energy of formation from the pure elements = 0.7048 eV/atom
Magnetization = 1.8 μB/cell

Unit cell a=4.316 b=4.316 c=4.316 alpha=60.00 beta=60.00 gamma=60.00
Positions (direct):
Ag  0.250  0.250  0.250
Ir  0.750  0.750  0.750
Pt  0.000  0.000  0.000

---

RbAg3IrS4 | GGA-PBE | optimized geometry

Properties
E = -3.976 eV per atom
Magnetization = 0.9 μB/cell

Unit cell a=6.334 b=6.334 c=6.334 alpha=90.00 beta=90.00 gamma=90.00
Positions (direct):
Ag  0.500  0.000  0.000
Ag  0.000  0.500  0.000
Ag  0.000  0.000  0.500
Ir  0.000  0.000  0.000
Rb  0.500  0.500  0.500
S  0.791  0.209  0.209
S  0.209  0.791  0.209
S  0.209  0.209  0.791
S  0.791  0.791  0.791

---

RbAgIrSe2S | GGA-PBE | optimized geometry

Properties
E = -4.222 eV per atom
Magnetization = 0.3 μB/cell

Unit cell a=7.931 b=7.931 c=9.951 alpha=90.00 beta=90.00 gamma=151.58
Positions (direct):
Ag  0.047  0.953  0.250
Ag  0.953  0.047  0.750
Ir  0.500  0.500  0.000
Ir  0.500  0.500  0.500
Rb  0.747  0.253  0.250
Rb  0.253  0.747  0.750
S  0.442  0.558  0.250
S  0.558  0.442  0.750
Se  0.108  0.892  0.014
Se  0.108  0.892  0.486
Se  0.892  0.108  0.514
Se  0.892  0.108  0.986

---

RbAgIrSeS2 | GGA-PBE | optimized geometry

Properties
E = -4.371 eV per atom
Magnetization = 0.1 μB/cell

Unit cell a=8.078 b=8.078 c=10.015 alpha=90.00 beta=90.00 gamma=153.47
Positions (direct):
Ag  0.067  0.933  0.250
Ag  0.933  0.067  0.750
Ir  0.500  0.500  0.000
Ir  0.500  0.500  0.500
Rb  0.753  0.247  0.250
Rb  0.247  0.753  0.750
S  0.099  0.901  0.015
S  0.099  0.901  0.485
S  0.901  0.099  0.515
S  0.901  0.099  0.985
Se  0.441  0.559  0.250
Se  0.559  0.441  0.750